(1)
A plane-wave DFT calculation with PBE-GGA was carried out for an optimized crystal structure of IrRuBr2.

For the offset from the most stable computed form, the calculation gives 891 meV/atom. The value obtained for the total energy is -4.22 eV/atom. The value obtained for the raw formation energy is 1150 meV/atom.

Cell: 6.3598 6.3598 6.1520 Å, 58.88 58.88 90.00°
Last column: nearest neighbours and their distance in Å.
Positions (direct):
Ru 0.5000 0.5000 0.0000  4 Br 2.46
Ru 0.2500 0.7500 0.5000  4 Br 2.46
Ir 0.0000 0.0000 0.0000  4 Br 2.50
Ir 0.7500 0.2500 0.5000  4 Br 2.50
Br 0.6206 0.1250 0.2500  2 Ru 2.46, 2 Ir 2.50
Br 0.1294 0.6250 0.2500  2 Ru 2.46, 2 Ir 2.50
Br 0.3750 0.3794 0.7500  2 Ru 2.46, 2 Ir 2.50
Br 0.8750 0.8706 0.7500  2 Ru 2.46, 2 Ir 2.50

=====

(2)
A plane-wave DFT calculation with PBE-GGA was carried out for an optimized crystal structure of IrRu4Br.

The value obtained for the total energy is -6.79 eV/atom. The value obtained for the raw formation energy is 1151 meV/atom.

Cell: 5.1484 5.1484 5.1484 Å, 60.00 60.00 60.00°
Last column: nearest neighbours and their distance in Å.
Positions (direct):
Ir 0.0000 0.0000 0.0000  12 Ru 3.02, 4 Br 3.15
Ru 0.8767 0.3744 0.3744  6 Ru 2.56-2.59
Ru 0.3744 0.3744 0.8767  6 Ru 2.56-2.59
Ru 0.3744 0.8767 0.3744  6 Ru 2.56-2.59
Ru 0.3744 0.3744 0.3744  6 Ru 2.56-2.59
Br 0.7500 0.7500 0.7500  12 Ru 3.02, 4 Ir 3.15

=====

(3)
A plane-wave DFT calculation with PBE-GGA was carried out for an optimized crystal structure of Ir2RuBr.

For the offset from the most stable computed form, the calculation gives 538 meV/atom. The value obtained for the total energy is -6.09 eV/atom. The value obtained for the raw formation energy is 1079 meV/atom.

Cell: 4.7663 4.7663 2.7853 Å, 90.00 90.00 90.00°
Last column: nearest neighbours and their distance in Å.
Positions (direct):
Ru 0.5000 0.0000 0.5000  8 Ir 2.76, 2 Ru 2.79
Ir 0.0000 0.0000 0.0000  4 Br 2.76, 4 Ru 2.76, 2 Ir 2.79
Ir 0.5000 0.5000 0.0000  4 Br 2.76, 4 Ru 2.76, 2 Ir 2.79
Br 0.0000 0.5000 0.5000  8 Ir 2.76, 2 Br 2.79

=====

(4)
A plane-wave DFT calculation with PBE-GGA was carried out for an optimized crystal structure of IrRuBr2.

For the offset from the most stable computed form, the calculation gives 1045 meV/atom. The value obtained for the total energy is -4.07 eV/atom. The value obtained for the raw formation energy is 1304 meV/atom.

Cell: 4.6721 4.6721 4.6721 Å, 60.00 60.00 60.00°
Last column: nearest neighbours and their distance in Å.
Positions (direct):
Ru 0.2500 0.2500 0.2500  4 Br 2.86, 4 Ir 2.86
Ir 0.5000 0.5000 0.5000  4 Ru 2.86, 4 Br 2.86
Br 0.0000 0.0000 0.0000  4 Br 2.86, 4 Ru 2.86
Br 0.7500 0.7500 0.7500  4 Br 2.86, 4 Ir 2.86

=====

(5)
A plane-wave DFT calculation with PBE-GGA was carried out for an optimized crystal structure of IrRuBr2.

For the offset from the most stable computed form, the calculation gives 806 meV/atom. The value obtained for the total energy is -4.31 eV/atom. The value obtained for the raw formation energy is 1064 meV/atom.

Cell: 4.3776 3.1419 5.2418 Å, 94.07 90.00 90.00°
Last column: nearest neighbours and their distance in Å.
Positions (direct):
Ru 0.5000 0.7500 0.7500  4 Br 2.63
Ir 0.5000 0.2500 0.2500  4 Br 2.65, 2 Ru 2.96
Br 0.0000 0.9926 0.9984  2 Ru 2.63, 2 Ir 2.65, 1 Br 2.92
Br 0.0000 0.5074 0.5016  2 Ru 2.63, 2 Ir 2.65, 1 Br 2.92

=====

(6)
A plane-wave DFT calculation with PBE-GGA was carried out for an optimized crystal structure of Ir2RuBr.

For the offset from the most stable computed form, the calculation gives 453 meV/atom. The value obtained for the total energy is -6.17 eV/atom. The value obtained for the raw formation energy is 994 meV/atom.

Cell: 4.8305 4.8305 2.8316 Å, 90.00 90.00 110.29°
Last column: nearest neighbours and their distance in Å.
Positions (direct):
Ru 0.5000 0.0000 0.5000  2 Br 2.76, 8 Ir 2.80, 2 Ru 2.83
Ir 0.0000 0.0000 0.0000  4 Ir 2.76-2.83, 4 Br 2.80, 4 Ru 2.80
Ir 0.5000 0.5000 0.0000  4 Ir 2.76-2.83, 4 Ru 2.80, 4 Br 2.80
Br 0.0000 0.5000 0.5000  2 Ru 2.76, 8 Ir 2.80, 2 Br 2.83

=====

(7)
A plane-wave DFT calculation with PBE-GGA was carried out for an optimized crystal structure of Ir2RuBr.

For the offset from the most stable computed form, the calculation gives 189 meV/atom. The value obtained for the total energy is -6.44 eV/atom. The value obtained for the raw formation energy is 730 meV/atom.

Cell: 2.8053 3.5979 7.0557 Å, 90.00 90.00 90.00°
Last column: nearest neighbours and their distance in Å.
Positions (direct):
Ru 0.0000 0.0000 0.4437  5 Ir 2.64-2.65, 2 Ru 2.81
Ir 0.0000 0.0000 0.0685  6 Ir 2.64-2.81, 1 Ru 2.65
Ir 0.5000 0.5000 0.2566  4 Ru 2.64, 6 Ir 2.64-2.81
Br 0.5000 0.5000 0.7312  2 Br 2.81, 4 Ru 3.05

=====

(8)
A plane-wave DFT calculation with PBE-GGA was carried out for an optimized crystal structure of IrRuBr2.

For the offset from the most stable computed form, the calculation gives 239 meV/atom. The value obtained for the total energy is -4.87 eV/atom. The value obtained for the raw formation energy is 497 meV/atom.

Cell: 3.0841 3.0841 8.8162 Å, 90.00 90.00 90.01°
Last column: nearest neighbours and their distance in Å.
Positions (direct):
Ru 0.5000 0.5000 0.7102  4 Ir 2.63, 4 Br 2.84
Ir 0.0000 0.0000 0.5437  4 Ru 2.63, 4 Br 2.88
Br 0.0000 0.0000 0.9160  4 Ru 2.84, 4 Br 3.08
Br 0.5000 0.5000 0.3301  4 Ir 2.88, 4 Br 3.08

=====

(9)
A plane-wave DFT calculation with PBE-GGA was carried out for an optimized crystal structure of IrRu3Br.

For the offset from the most stable computed form, the calculation gives 65 meV/atom. The value obtained for the total energy is -5.81 eV/atom. The value obtained for the raw formation energy is 1867 meV/atom.

Cell: 4.4703 4.4703 4.4703 Å, 90.00 90.00 90.00°
Last column: nearest neighbours and their distance in Å.
Positions (direct):
Ru 0.0000 0.5000 0.0000  2 Br 2.24
Ru 0.0000 0.0000 0.5000  2 Br 2.24
Ru 0.5000 0.0000 0.0000  2 Br 2.24
Ir 0.5000 0.5000 0.5000  12 Ru 3.16
Br 0.0000 0.0000 0.0000  6 Ru 2.24

=====

(10)
A plane-wave DFT calculation with PBE-GGA was carried out for an optimized crystal structure of IrRu2Br.

For the offset from the most stable computed form, the calculation gives 149 meV/atom. The value obtained for the total energy is -6.58 eV/atom. The value obtained for the raw formation energy is 696 meV/atom.

Cell: 2.8429 3.5459 6.6450 Å, 90.00 90.00 90.00°
Last column: nearest neighbours and their distance in Å.
Positions (direct):
Ru 0.0000 0.0000 0.9517  4 Ir 2.64, 3 Ru 2.68-2.84
Ru 0.0000 0.0000 0.5483  4 Ir 2.64, 3 Ru 2.68-2.84
Ir 0.5000 0.5000 0.7500  8 Ru 2.64, 2 Ir 2.84
Br 0.5000 0.5000 0.2500  2 Br 2.84, 8 Ru 3.02

=====

(11)
A plane-wave DFT calculation with PBE-GGA was carried out for an optimized crystal structure of IrRu2Br.

For the offset from the most stable computed form, the calculation gives 339 meV/atom. The value obtained for the total energy is -6.38 eV/atom. The value obtained for the raw formation energy is 887 meV/atom.

Cell: 2.8468 4.6622 4.6622 Å, 90.00 90.00 90.00°
Last column: nearest neighbours and their distance in Å.
Positions (direct):
Ru 0.0000 0.0000 0.0000  4 Br 2.73, 4 Ir 2.73, 2 Ru 2.85
Ru 0.0000 0.5000 0.5000  4 Br 2.73, 4 Ir 2.73, 2 Ru 2.85
Ir 0.5000 0.0000 0.5000  8 Ru 2.73, 2 Ir 2.85
Br 0.5000 0.5000 0.0000  8 Ru 2.73, 2 Br 2.85

=====

(12)
A plane-wave DFT calculation with PBE-GGA was carried out for an optimized crystal structure of Ir2RuBr.

For the offset from the most stable computed form, the calculation gives 361 meV/atom. The value obtained for the total energy is -6.27 eV/atom. The value obtained for the raw formation energy is 902 meV/atom.

Cell: 5.8781 5.8781 5.8781 Å, 152.75 134.47 53.88°
Last column: nearest neighbours and their distance in Å.
Positions (direct):
Ru 0.5282 0.5282 0.0000  6 Ir 2.64-2.73, 2 Ru 2.77
Ir 0.9698 0.9698 0.0000  4 Ru 2.73, 4 Ir 2.75-2.77
Ir 0.7431 0.2431 0.5000  2 Ru 2.64, 4 Br 2.67, 4 Ir 2.75-2.77
Br 0.2589 0.7589 0.5000  4 Ir 2.67, 2 Br 2.77

=====

| no. | magnetic moment (μB/atom) |
| --- | --- |
| 1 | 0.00 |
| 2 | 0.46 |
| 3 | 0.22 |
| 4 | 0.24 |
| 5 | 0.00 |
| 6 | 0.00 |
| 7 | 0.00 |
| 8 | 0.18 |
| 9 | 0.01 |
| 10 | 0.00 |
| 11 | 0.36 |
| 12 | 0.00 |